First-principles (PBE-GGA) data for a geometry-optimized SmHo2Al6 structure, as listed in Alexandria via LeMat-Bulk.

a b c (Å): 7.921 7.921 3.502
angles (deg): 90.00 90.00 120.00
Fractional coordinates of all 9 atoms:
1 Sm 0.000 0.000 0.000
2 Ho 0.333 0.667 0.000
3 Ho 0.667 0.333 0.000
4 Al 0.000 0.335 0.500
5 Al 0.000 0.665 0.500
6 Al 0.335 0.000 0.500
7 Al 0.335 0.335 0.500
8 Al 0.665 0.000 0.500
9 Al 0.665 0.665 0.500

Magnetization = 0.0 Bohr magnetons per cell
Calculated volume = 190.26 Å³/cell
Calculated density = 5.6 g/cm³
VASP energy = -4.53 eV per atom
Formation energy from the elements = -0.49 eV/atom

***

First-principles (PBE-GGA) data for a geometry-optimized Ce2TmSi2 structure, as listed in Alexandria via LeMat-Bulk.

a b c (Å): 7.468 7.468 4.317
angles (deg): 90.00 90.00 90.00
Fractional coordinates of all 10 atoms:
1 Ce 0.178 0.322 0.000
2 Ce 0.322 0.822 0.000
3 Ce 0.678 0.178 0.000
4 Ce 0.822 0.678 0.000
5 Tm 0.000 0.000 0.500
6 Tm 0.500 0.500 0.500
7 Si 0.117 0.617 0.500
8 Si 0.383 0.117 0.500
9 Si 0.617 0.883 0.500
10 Si 0.883 0.383 0.500

Magnetization = 2.8 Bohr magnetons per cell
Calculated volume = 240.76 Å³/cell
Calculated density = 7.0 g/cm³
VASP energy = -6.06 eV per atom
ΔE_f (raw) = -625.0 meV per atom

***

Q: Which of these has the highest magnetization?
A: Ce2TmSi2

***

Q: What is the calculated density in the first record?
A: 5.6 g/cm³